Entry from the Alexandria database: crystalline Si2WSe at its relaxed geometry (PBE).

DOS(E_F) ... 0.792 states/eV/cell
Total magnetization ... 0.00 Bohr magnetons per cell
Space-group type ... No. 8
VASP energy ... -27.0 eV per formula unit

The structure in POSCAR format:
```
Si2WSe
1.0
-3.842 -3.123 1.848
0.060 -1.692 -2.734
8.990 -1.840 1.337
Si W Se
4 2 2
Direct
0.978 0.000 0.760
0.833 0.500 0.461
0.978 0.500 0.260
0.833 0.000 0.961
0.463 0.500 0.953
0.463 0.000 0.453
0.359 0.500 0.641
0.359 0.000 0.141
```

Entry from the Alexandria database: crystalline Na3AgS at its relaxed geometry (PBE).

DOS(E_F) ... 0.000 states/eV/cell
Total magnetization ... 0.00 Bohr magnetons per cell
Space-group type ... No. 221
VASP energy ... -11.0 eV per formula unit

The structure in POSCAR format:
```
Na3AgS
1.0
-3.550 3.976 0.179
-3.632 -3.138 -2.324
-1.627 -1.668 4.797
Na Ag S
3 1 1
Direct
0.500 0.000 0.000
0.000 0.000 0.500
0.000 0.500 0.000
0.000 0.000 0.000
0.500 0.500 0.500
```

Entry from the Alexandria database: crystalline SrInOs2 at its relaxed geometry (PBE).

DOS(E_F) ... 5.388 states/eV/cell
Total magnetization ... 0.05 Bohr magnetons per cell
Formation enthalpy at 0 K ... 731.3 meV/atom
Space-group type ... No. 47

The structure in POSCAR format:
```
SrInOs2
1.0
2.962 0.000 0.000
0.000 4.379 0.000
0.000 0.000 6.534
Os Sr In
2 1 1
Direct
0.000 0.000 0.933
0.000 0.000 0.567
0.500 0.500 0.250
0.500 0.500 0.750
```

Entry from the Alexandria database: crystalline Th2CrNi12P3 at its relaxed geometry (PBE).

DOS(E_F) ... 13.954 states/eV/cell
Total magnetization ... 3.06 Bohr magnetons per cell
Formation enthalpy at 0 K ... -50.8 meV/atom
Space-group type ... No. 166

The structure in POSCAR format:
```
Th2CrNi12P3
1.0
-3.581 3.270 -5.177
-4.685 -4.078 -3.427
-6.800 1.374 1.480
P Ni Cr Th
3 12 1 2
Direct
0.000 0.000 0.500
0.500 0.000 0.000
0.000 0.500 0.000
0.343 0.343 0.892
0.871 0.376 0.871
0.871 0.871 0.376
0.624 0.129 0.129
0.892 0.343 0.343
0.657 0.108 0.657
0.108 0.657 0.657
0.343 0.892 0.343
0.129 0.129 0.624
0.376 0.871 0.871
0.129 0.624 0.129
0.657 0.657 0.108
0.000 0.000 0.000
0.386 0.386 0.386
0.614 0.614 0.614
```

Entry from the Alexandria database: crystalline BeZnSe2 at its relaxed geometry (PBE).

DOS(E_F) ... 0.684 states/eV/cell
Total magnetization ... 0.00 Bohr magnetons per cell
Space-group type ... No. 10
VASP energy ... -12.5 eV per formula unit

The structure in POSCAR format:
```
BeZnSe2
1.0
3.313 0.000 0.000
0.000 4.382 -0.808
0.000 -2.768 6.848
Zn Se Be
1 2 1
Direct
0.500 0.250 0.250
0.000 0.778 0.981
0.000 0.722 0.519
0.500 0.750 0.750
```

Entry from the Alexandria database: crystalline ZrTeS4 at its relaxed geometry (PBE).

Total magnetization ... 0.00 Bohr magnetons per cell
Space-group type ... No. 12
VASP energy ... -32.5 eV per formula unit

The structure in POSCAR format:
```
ZrTeS4
1.0
-1.884 0.628 3.187
3.975 -4.217 3.182
5.186 3.183 4.647
Zr S Te
1 4 1
Direct
0.000 0.000 0.000
0.111 0.435 0.777
0.608 0.945 0.784
0.392 0.055 0.216
0.889 0.565 0.223
0.500 0.500 0.000
```

Entry from the Alexandria database: crystalline SmThSN at its relaxed geometry (PBE).

DOS(E_F) ... 1.079 states/eV/cell
Total magnetization ... 0.00 Bohr magnetons per cell
Space-group type ... No. 156
VASP energy ... -31.3 eV per formula unit

The structure in POSCAR format:
```
SmThSN
1.0
3.689 -0.015 0.517
-1.867 3.223 -0.001
-0.923 -0.532 6.569
S Th Sm N
1 1 1 1
Direct
0.219 0.508 0.871
0.553 0.174 0.573
0.886 0.841 0.152
0.220 0.508 0.374
```

Entry from the Alexandria database: crystalline RbHg3Pd at its relaxed geometry (PBE).

DOS(E_F) ... 7.188 states/eV/cell
Total magnetization ... 0.00 Bohr magnetons per cell
Formation enthalpy at 0 K ... 706.9 meV/atom
Space-group type ... No. 221

The structure in POSCAR format:
```
RbHg3Pd
1.0
-2.384 -5.908 -1.277
2.502 -2.214 5.572
-5.502 1.553 3.088
Pd Hg Rb
1 3 1
Direct
0.500 0.500 0.500
0.500 0.000 0.000
0.000 0.000 0.500
0.000 0.500 0.000
0.000 0.000 0.000
```

Entry from the Alexandria database: crystalline LuZnHg at its relaxed geometry (PBE).

DOS(E_F) ... 2.266 states/eV/cell
Total magnetization ... 0.00 Bohr magnetons per cell
Formation enthalpy at 0 K ... -231.0 meV/atom
Space-group type ... No. 107

The structure in POSCAR format:
```
LuZnHg
1.0
3.513 0.000 0.000
0.000 3.513 0.000
-1.757 -1.757 5.270
Hg Zn Lu
1 1 1
Direct
0.962 0.962 0.923
0.612 0.612 0.223
0.277 0.277 0.553
```

Entry from the Alexandria database: crystalline Ti2MoP2 at its relaxed geometry (PBE).

DOS(E_F) ... 6.138 states/eV/cell
Total magnetization ... 0.00 Bohr magnetons per cell
Formation enthalpy at 0 K ... -946.7 meV/atom
Space-group type ... No. 127

The structure in POSCAR format:
```
Ti2MoP2
1.0
6.420 0.000 0.000
0.000 6.420 0.000
0.000 0.000 3.451
Ti Mo P
4 2 4
Direct
0.340 0.160 0.500
0.840 0.340 0.500
0.660 0.840 0.500
0.160 0.660 0.500
0.000 0.000 0.000
0.500 0.500 0.000
0.861 0.639 0.000
0.139 0.361 0.000
0.639 0.139 0.000
0.361 0.861 0.000
```

Entry from the Alexandria database: crystalline La2CdIn2Pt5 at its relaxed geometry (PBE).

DOS(E_F) ... 10.602 states/eV/cell
Total magnetization ... 0.00 Bohr magnetons per cell
Formation enthalpy at 0 K ... -587.7 meV/atom
Space-group type ... No. 127

The structure in POSCAR format:
```
La2CdIn2Pt5
1.0
3.717 0.000 0.000
0.000 10.727 0.000
0.000 0.000 10.727
Pt In Cd La
10 4 2 4
Direct
0.500 0.000 0.500
0.500 0.535 0.701
0.500 0.299 0.535
0.500 0.799 0.965
0.500 0.201 0.035
0.500 0.035 0.799
0.500 0.500 0.000
0.500 0.701 0.465
0.500 0.965 0.201
0.500 0.465 0.299
0.000 0.370 0.130
0.000 0.130 0.630
0.000 0.630 0.870
0.000 0.870 0.370
0.000 0.000 0.000
0.000 0.500 0.500
0.000 0.671 0.171
0.000 0.171 0.329
0.000 0.329 0.829
0.000 0.829 0.671
```

Entry from the Alexandria database: crystalline RbHfIn at its relaxed geometry (PBE).

DOS(E_F) ... 3.736 states/eV/cell
Total magnetization ... 0.00 Bohr magnetons per cell
Formation enthalpy at 0 K ... 149.2 meV/atom
Space-group type ... No. 12

The structure in POSCAR format:
```
RbHfIn
1.0
27.256 0.000 -0.144
13.368 2.445 -1.814
-13.368 2.445 1.814
In Hf Rb
2 2 2
Direct
0.755 0.697 0.303
0.245 0.303 0.697
0.745 0.299 0.701
0.255 0.701 0.299
0.268 0.062 0.938
0.732 0.938 0.062
```